--- 1 ---
# RbBi2H

A geometry-optimized RbBi2H structure (PBE, Alexandria via LeMat-Bulk).

Values from the calculation:
Volume, A^3/atom: 30.30
Crystal system: cubic

The structure in CIF format:
```
data_RbBi2H
_chemical_formula_sum 'Rb4 Bi8 H4'
_space_group_name_H-M_alt 'F m -3 m'
_space_group_IT_number 225
_space_group_name_Hall '-F 4 2 3'
_cell_length_a 7.8559
_cell_length_b 7.8559
_cell_length_c 7.8559
_cell_angle_alpha 90.00
_cell_angle_beta 90.00
_cell_angle_gamma 90.00
loop_
_atom_site_label
_atom_site_type_symbol
_atom_site_fract_x
_atom_site_fract_y
_atom_site_fract_z
_atom_site_occupancy
Rb1 Rb 0.0000 0.0000 0.0000 1
Bi1 Bi 0.2500 0.2500 0.2500 1
H1 H 0.0000 0.0000 0.5000 1
```

--- 2 ---
# RbBi2H

A geometry-optimized RbBi2H structure (PBE, Alexandria via LeMat-Bulk).

Values from the calculation:
Volume, A^3/atom: 32.45
Crystal system: tetragonal

The structure in CIF format:
```
data_RbBi2H
_chemical_formula_sum 'Rb4 Bi8 H4'
_space_group_name_H-M_alt 'I 41/a m d'
_space_group_IT_number 141
_cell_length_a 7.1299
_cell_length_b 7.1299
_cell_length_c 10.2143
_cell_angle_alpha 90.00
_cell_angle_beta 90.00
_cell_angle_gamma 90.00
loop_
_space_group_symop_operation_xyz
'x,y,z'
'-x,-y,-z'
'-y+1/4,x+3/4,z+1/4'
'y+1/4,-x+3/4,-z+1/4'
'-x+1/2,-y,z+1/2'
'x+1/2,y,-z+1/2'
'y+1/4,-x+1/4,z+3/4'
'-y+1/4,x+1/4,-z+3/4'
'x,-y,-z'
'-x,y,z'
'-y+1/4,-x+1/4,-z+3/4'
'y+1/4,x+1/4,z+3/4'
'-x+1/2,y,-z+1/2'
'x+1/2,-y,z+1/2'
'y+1/4,x+3/4,-z+1/4'
'-y+1/4,-x+3/4,z+1/4'
'x+1/2,y+1/2,z+1/2'
'-x+1/2,-y+1/2,-z+1/2'
'-y+3/4,x+1/4,z+3/4'
'y+3/4,-x+1/4,-z+3/4'
'-x,-y+1/2,z'
'x,y+1/2,-z'
'y+3/4,-x+3/4,z+1/4'
'-y+3/4,x+3/4,-z+1/4'
'x+1/2,-y+1/2,-z+1/2'
'-x+1/2,y+1/2,z+1/2'
'-y+3/4,-x+3/4,-z+1/4'
'y+3/4,x+3/4,z+1/4'
'-x,y+1/2,-z'
'x,-y+1/2,z'
'y+3/4,x+1/4,-z+3/4'
'-y+3/4,-x+1/4,z+3/4'
loop_
_atom_site_label
_atom_site_type_symbol
_atom_site_fract_x
_atom_site_fract_y
_atom_site_fract_z
_atom_site_occupancy
Rb1 Rb 0.0000 0.2500 0.3750 1
Bi1 Bi 0.0000 0.0000 0.0000 1
H1 H 0.0000 0.2500 0.8750 1
```

Which structure wins on stability? 2 wins.

--- 1 ---
# RbBi3H

A geometry-optimized RbBi3H structure (PBE, Alexandria via LeMat-Bulk).

Values from the calculation:
Volume, A^3/atom: 51.98
Crystal system: cubic

The structure in CIF format:
```
data_RbBi3H
_chemical_formula_sum 'Rb1 Bi3 H1'
_space_group_name_H-M_alt 'P m -3 m'
_space_group_IT_number 221
_space_group_name_Hall '-P 4 2 3'
_cell_length_a 6.3817
_cell_length_b 6.3817
_cell_length_c 6.3817
_cell_angle_alpha 90.00
_cell_angle_beta 90.00
_cell_angle_gamma 90.00
loop_
_atom_site_label
_atom_site_type_symbol
_atom_site_fract_x
_atom_site_fract_y
_atom_site_fract_z
_atom_site_occupancy
Rb1 Rb 0.0000 0.0000 0.0000 1
Bi1 Bi 0.0000 0.0000 0.5000 1
H1 H 0.5000 0.5000 0.5000 1
```

--- 2 ---
# RbBi3H

A geometry-optimized RbBi3H structure (PBE, Alexandria via LeMat-Bulk).

Values from the calculation:
Volume, A^3/atom: 27.68
Crystal system: cubic

The structure in CIF format:
```
data_RbBi3H
_chemical_formula_sum 'Rb1 Bi3 H1'
_space_group_name_H-M_alt 'P m -3 m'
_space_group_IT_number 221
_space_group_name_Hall '-P 4 2 3'
_cell_length_a 5.1725
_cell_length_b 5.1725
_cell_length_c 5.1725
_cell_angle_alpha 90.00
_cell_angle_beta 90.00
_cell_angle_gamma 90.00
loop_
_atom_site_label
_atom_site_type_symbol
_atom_site_fract_x
_atom_site_fract_y
_atom_site_fract_z
_atom_site_occupancy
Rb1 Rb 0.0000 0.0000 0.0000 1
Bi1 Bi 0.0000 0.5000 0.5000 1
H1 H 0.5000 0.5000 0.5000 1
```

Which structure wins on stability? 2 wins.

--- 1 ---
# RbBiHSe2

A geometry-optimized RbBiHSe2 structure (PBE, Alexandria via LeMat-Bulk).

Values from the calculation:
Volume, A^3/atom: 51.94
Crystal system: tetragonal

The structure in CIF format:
```
data_RbBiHSe2
_chemical_formula_sum 'Rb1 Bi1 H1 Se2'
_space_group_name_H-M_alt 'P 4/m m m'
_space_group_IT_number 123
_space_group_name_Hall '-P 4 2'
_cell_length_a 6.3132
_cell_length_b 6.3132
_cell_length_c 6.5165
_cell_angle_alpha 90.00
_cell_angle_beta 90.00
_cell_angle_gamma 90.00
loop_
_atom_site_label
_atom_site_type_symbol
_atom_site_fract_x
_atom_site_fract_y
_atom_site_fract_z
_atom_site_occupancy
Rb1 Rb 0.0000 0.0000 0.0000 1
Bi1 Bi 0.0000 0.0000 0.5000 1
H1 H 0.5000 0.5000 0.5000 1
Se1 Se 0.0000 0.5000 0.0000 1
```

--- 2 ---
# RbBiHSe2

A geometry-optimized RbBiHSe2 structure (PBE, Alexandria via LeMat-Bulk).

Values from the calculation:
Volume, A^3/atom: 32.45
Crystal system: orthorhombic

The structure in CIF format:
```
data_RbBiHSe2
_chemical_formula_sum 'Rb4 Bi4 H4 Se8'
_space_group_name_H-M_alt 'C m m e'
_space_group_IT_number 67
_space_group_name_Hall '-C 2a 2'
_cell_length_a 7.6168
_cell_length_b 11.7163
_cell_length_c 7.2714
_cell_angle_alpha 90.00
_cell_angle_beta 90.00
_cell_angle_gamma 90.00
loop_
_atom_site_label
_atom_site_type_symbol
_atom_site_fract_x
_atom_site_fract_y
_atom_site_fract_z
_atom_site_occupancy
Rb1 Rb 0.0000 0.2500 0.1853 1
Bi1 Bi 0.2500 0.0000 0.5000 1
H1 H 0.0000 0.0000 0.0000 1
Se1 Se 0.0000 0.0721 0.7842 1
```

Which structure wins on stability? 2 wins.

--- 1 ---
# Rb2TlBiH

A geometry-optimized Rb2TlBiH structure (PBE, Alexandria via LeMat-Bulk).

Values from the calculation:
Volume, A^3/atom: 32.53
Crystal system: tetragonal

The structure in CIF format:
```
data_Rb2TlBiH
_chemical_formula_sum 'Rb2 Tl1 Bi1 H1'
_space_group_name_H-M_alt 'P 4/m m m'
_space_group_IT_number 123
_space_group_name_Hall '-P 4 2'
_cell_length_a 5.3231
_cell_length_b 5.3231
_cell_length_c 5.7395
_cell_angle_alpha 90.00
_cell_angle_beta 90.00
_cell_angle_gamma 90.00
loop_
_atom_site_label
_atom_site_type_symbol
_atom_site_fract_x
_atom_site_fract_y
_atom_site_fract_z
_atom_site_occupancy
Rb1 Rb 0.0000 0.5000 0.0000 1
Tl1 Tl 0.0000 0.0000 0.5000 1
Bi1 Bi 0.5000 0.5000 0.5000 1
H1 H 0.0000 0.0000 0.0000 1
```

--- 2 ---
# Rb2TlBiH

A geometry-optimized Rb2TlBiH structure (PBE, Alexandria via LeMat-Bulk).

Values from the calculation:
Volume, A^3/atom: 37.68
Crystal system: monoclinic

The structure in CIF format:
```
data_Rb2TlBiH
_chemical_formula_sum 'Rb4 Tl2 Bi2 H2'
_space_group_name_H-M_alt 'P 1 21/m 1'
_space_group_IT_number 11
_cell_length_a 7.6528
_cell_length_b 5.7369
_cell_length_c 8.9968
_cell_angle_alpha 90.00
_cell_angle_beta 107.43
_cell_angle_gamma 90.00
loop_
_space_group_symop_operation_xyz
'x,y,z'
'-x,-y,-z'
'-x,y+1/2,-z'
'x,-y+1/2,z'
loop_
_atom_site_label
_atom_site_type_symbol
_atom_site_fract_x
_atom_site_fract_y
_atom_site_fract_z
_atom_site_occupancy
Rb1 Rb 0.1306 0.2500 0.3726 1
Rb2 Rb 0.2468 0.2500 0.9296 1
Tl1 Tl 0.4313 0.7500 0.3330 1
Bi1 Bi 0.3897 0.7500 0.6850 1
H1 H 0.1613 0.7500 0.1958 1
```

Which structure wins on stability? 2 wins.

--- 1 ---
# ReBi2H

A geometry-optimized ReBi2H structure (PBE, Alexandria via LeMat-Bulk).

Values from the calculation:
Volume, A^3/atom: 19.17
Crystal system: cubic

The structure in CIF format:
```
data_ReBi2H
_chemical_formula_sum 'Re4 Bi8 H4'
_space_group_name_H-M_alt 'F m -3 m'
_space_group_IT_number 225
_space_group_name_Hall '-F 4 2 3'
_cell_length_a 6.7441
_cell_length_b 6.7441
_cell_length_c 6.7441
_cell_angle_alpha 90.00
_cell_angle_beta 90.00
_cell_angle_gamma 90.00
loop_
_atom_site_label
_atom_site_type_symbol
_atom_site_fract_x
_atom_site_fract_y
_atom_site_fract_z
_atom_site_occupancy
Re1 Re 0.0000 0.0000 0.0000 1
Bi1 Bi 0.2500 0.2500 0.2500 1
H1 H 0.0000 0.0000 0.5000 1
```

--- 2 ---
# ReBi2H

A geometry-optimized ReBi2H structure (PBE, Alexandria via LeMat-Bulk).

Values from the calculation:
Volume, A^3/atom: 19.90
Crystal system: tetragonal

The structure in CIF format:
```
data_ReBi2H
_chemical_formula_sum 'Re4 Bi8 H4'
_space_group_name_H-M_alt 'I -4 2 d'
_space_group_IT_number 122
_space_group_name_Hall 'I -4 2bw'
_cell_length_a 6.6594
_cell_length_b 6.6594
_cell_length_c 7.1797
_cell_angle_alpha 90.00
_cell_angle_beta 90.00
_cell_angle_gamma 90.00
loop_
_atom_site_label
_atom_site_type_symbol
_atom_site_fract_x
_atom_site_fract_y
_atom_site_fract_z
_atom_site_occupancy
Re1 Re 0.0000 0.0000 0.0000 1
Bi1 Bi 0.1892 0.2500 0.6250 1
H1 H 0.0000 0.0000 0.5000 1
```

Which structure wins on stability? 1 wins.

--- 1 ---
# Re3BiH

A geometry-optimized Re3BiH structure (PBE, Alexandria via LeMat-Bulk).

Values from the calculation:
Volume, A^3/atom: 25.26
Crystal system: cubic

The structure in CIF format:
```
data_Re3BiH
_chemical_formula_sum 'Re3 Bi1 H1'
_space_group_name_H-M_alt 'P m -3 m'
_space_group_IT_number 221
_space_group_name_Hall '-P 4 2 3'
_cell_length_a 5.0171
_cell_length_b 5.0171
_cell_length_c 5.0171
_cell_angle_alpha 90.00
_cell_angle_beta 90.00
_cell_angle_gamma 90.00
loop_
_atom_site_label
_atom_site_type_symbol
_atom_site_fract_x
_atom_site_fract_y
_atom_site_fract_z
_atom_site_occupancy
Re1 Re 0.0000 0.0000 0.5000 1
Bi1 Bi 0.0000 0.0000 0.0000 1
H1 H 0.5000 0.5000 0.5000 1
```

--- 2 ---
# Re3BiH

A geometry-optimized Re3BiH structure (PBE, Alexandria via LeMat-Bulk).

Values from the calculation:
Volume, A^3/atom: 14.16
Crystal system: cubic

The structure in CIF format:
```
data_Re3BiH
_chemical_formula_sum 'Re3 Bi1 H1'
_space_group_name_H-M_alt 'P m -3 m'
_space_group_IT_number 221
_space_group_name_Hall '-P 4 2 3'
_cell_length_a 4.1369
_cell_length_b 4.1369
_cell_length_c 4.1369
_cell_angle_alpha 90.00
_cell_angle_beta 90.00
_cell_angle_gamma 90.00
loop_
_atom_site_label
_atom_site_type_symbol
_atom_site_fract_x
_atom_site_fract_y
_atom_site_fract_z
_atom_site_occupancy
Re1 Re 0.0000 0.0000 0.5000 1
Bi1 Bi 0.5000 0.5000 0.5000 1
H1 H 0.0000 0.0000 0.0000 1
```

Which structure wins on stability? 2 wins.